No. 1
Al2CdNi | PBE | relaxed

Summary:
formation energy: -0.11 eV/atom
magnetic moment: 0.00 Bohr magnetons per cell

```
data_Al2CdNi
_chemical_formula_sum 'Al2 Cd1 Ni1'
_space_group_name_H-M_alt 'P m m 2'
_space_group_IT_number 25
_space_group_name_Hall 'P 2 -2'
_cell_length_a 2.916
_cell_length_b 3.569
_cell_length_c 6.173
_cell_angle_alpha 90.00
_cell_angle_beta 90.00
_cell_angle_gamma 90.00
loop_
_atom_site_label
_atom_site_type_symbol
_atom_site_fract_x
_atom_site_fract_y
_atom_site_fract_z
Al1 Al 0.000 0.000 0.000
Al2 Al 0.500 0.500 0.258
Cd1 Cd 0.000 0.000 0.553
Ni1 Ni 0.500 0.500 0.852
```

***

No. 2
AlCd2Ni | PBE | relaxed

Summary:
formation energy: -0.04 eV/atom
magnetic moment: 0.00 Bohr magnetons per cell

```
data_AlCd2Ni
_chemical_formula_sum 'Al2 Cd4 Ni2'
_space_group_name_H-M_alt 'C 1 m 1'
_space_group_IT_number 8
_space_group_name_Hall 'C -2y'
_cell_length_a 12.056
_cell_length_b 2.892
_cell_length_c 4.540
_cell_angle_alpha 90.00
_cell_angle_beta 111.95
_cell_angle_gamma 90.00
loop_
_atom_site_label
_atom_site_type_symbol
_atom_site_fract_x
_atom_site_fract_y
_atom_site_fract_z
Al1 Al 0.000 0.000 0.000
Cd1 Cd 0.187 0.000 0.689
Cd2 Cd 0.384 0.000 0.386
Ni1 Ni 0.172 0.500 0.174
```

***

No. 3
Al4CdNi5 | PBE | relaxed

Summary:
formation energy: -0.53 eV/atom
magnetic moment: 0.00 Bohr magnetons per cell

```
data_Al4CdNi5
_chemical_formula_sum 'Al4 Cd1 Ni5'
_space_group_name_H-M_alt 'P 4/m m m'
_space_group_IT_number 123
_space_group_name_Hall '-P 4 2'
_cell_length_a 2.905
_cell_length_b 2.905
_cell_length_c 15.104
_cell_angle_alpha 90.00
_cell_angle_beta 90.00
_cell_angle_gamma 90.00
loop_
_atom_site_label
_atom_site_type_symbol
_atom_site_fract_x
_atom_site_fract_y
_atom_site_fract_z
Al1 Al 0.000 0.000 0.094
Al2 Al 0.000 0.000 0.286
Cd1 Cd 0.000 0.000 0.500
Ni1 Ni 0.500 0.500 0.000
Ni2 Ni 0.500 0.500 0.189
Ni3 Ni 0.500 0.500 0.375
```

***

No. 4
Al2CdNi | PBE | relaxed

Summary:
formation energy: -0.02 eV/atom
magnetic moment: 0.00 Bohr magnetons per cell

```
data_Al2CdNi
_chemical_formula_sum 'Al2 Cd1 Ni1'
_space_group_name_H-M_alt 'P 1 2/m 1'
_space_group_IT_number 10
_space_group_name_Hall '-P 2y'
_cell_length_a 3.031
_cell_length_b 4.094
_cell_length_c 5.339
_cell_angle_alpha 90.00
_cell_angle_beta 102.42
_cell_angle_gamma 90.00
loop_
_atom_site_label
_atom_site_type_symbol
_atom_site_fract_x
_atom_site_fract_y
_atom_site_fract_z
Al1 Al 0.137 0.000 0.279
Cd1 Cd 0.500 0.500 0.000
Ni1 Ni 0.500 0.500 0.500
```

***

No. 5
Al2CdNi | PBE | relaxed

Summary:
formation energy: 0.15 eV/atom
magnetic moment: 0.00 Bohr magnetons per cell

```
data_Al2CdNi
_chemical_formula_sum 'Al8 Cd4 Ni4'
_space_group_name_H-M_alt 'I -4 2 d'
_space_group_IT_number 122
_space_group_name_Hall 'I -4 2bw'
_cell_length_a 4.018
_cell_length_b 4.018
_cell_length_c 17.575
_cell_angle_alpha 90.00
_cell_angle_beta 90.00
_cell_angle_gamma 90.00
loop_
_atom_site_label
_atom_site_type_symbol
_atom_site_fract_x
_atom_site_fract_y
_atom_site_fract_z
Al1 Al 0.216 0.250 0.125
Cd1 Cd 0.000 0.000 0.500
Ni1 Ni 0.000 0.000 0.000
```

***

No. 6
Al2CdNi | PBE | relaxed

Summary:
formation energy: -0.08 eV/atom
magnetic moment: 0.00 Bohr magnetons per cell

```
data_Al2CdNi
_chemical_formula_sum 'Al4 Cd2 Ni2'
_space_group_name_H-M_alt 'C 1 2/m 1'
_space_group_IT_number 12
_space_group_name_Hall '-C 2y'
_cell_length_a 8.876
_cell_length_b 2.949
_cell_length_c 4.963
_cell_angle_alpha 90.00
_cell_angle_beta 102.96
_cell_angle_gamma 90.00
loop_
_atom_site_label
_atom_site_type_symbol
_atom_site_fract_x
_atom_site_fract_y
_atom_site_fract_z
Al1 Al 0.229 0.000 0.214
Cd1 Cd 0.000 0.000 0.500
Ni1 Ni 0.000 0.500 0.000
```

***

No. 7
Al2CdNi | PBE | relaxed

Summary:
formation energy: 0.03 eV/atom
magnetic moment: 0.00 Bohr magnetons per cell

```
data_Al2CdNi
_chemical_formula_sum 'Al4 Cd2 Ni2'
_space_group_name_H-M_alt 'C m m m'
_space_group_IT_number 65
_space_group_name_Hall '-C 2 2'
_cell_length_a 5.482
_cell_length_b 7.561
_cell_length_c 3.051
_cell_angle_alpha 90.00
_cell_angle_beta 90.00
_cell_angle_gamma 90.00
loop_
_atom_site_label
_atom_site_type_symbol
_atom_site_fract_x
_atom_site_fract_y
_atom_site_fract_z
Al1 Al 0.250 0.250 0.000
Cd1 Cd 0.000 0.000 0.500
Ni1 Ni 0.000 0.500 0.500
```

***

No. 8
AlCd2Ni | PBE | relaxed

Summary:
formation energy: 0.06 eV/atom
magnetic moment: 0.00 Bohr magnetons per cell

```
data_AlCd2Ni
_chemical_formula_sum 'Al2 Cd4 Ni2'
_space_group_name_H-M_alt 'I 4/m m m'
_space_group_IT_number 139
_space_group_name_Hall '-I 4 2'
_cell_length_a 4.028
_cell_length_b 4.028
_cell_length_c 8.340
_cell_angle_alpha 90.00
_cell_angle_beta 90.00
_cell_angle_gamma 90.00
loop_
_atom_site_label
_atom_site_type_symbol
_atom_site_fract_x
_atom_site_fract_y
_atom_site_fract_z
Al1 Al 0.000 0.000 0.000
Cd1 Cd 0.000 0.500 0.250
Ni1 Ni 0.000 0.000 0.500
```